1.
Density functional theory data (SCAN) for a PBEsol-optimized structure of SbMoI2N.

Raw total energy in eV per cell: -147.895
E_form (uncorrected) in eV/atom: 1.41
Total moment in μB/atom: 0.7268

a b c (Å): 4.807 4.807 4.730
angles (deg): 90.00 90.00 90.00
Each line ends with the local moment (μB).
Sites, in units of the cell vectors:
I: 0.000 0.500 0.000  -0.01
I: 0.500 0.000 0.000  -0.01
Sb: 0.000 0.000 0.500  -0.18
Mo: 0.500 0.500 0.500  3.61
N: 0.000 0.000 0.000  -0.03

---

2.
Density functional theory data (SCAN) for a PBEsol-optimized structure of SiMoIN2.

Raw total energy in eV per cell: -95.137
E_form (uncorrected) in eV/atom: 1.02
Total moment in μB/atom: 0.0000

a b c (Å): 3.951 3.951 5.497
angles (deg): 90.00 90.00 90.00
Sites, in units of the cell vectors:
I: 0.000 0.000 0.500
Mo: 0.000 0.000 0.000
Si: 0.500 0.500 0.500
N: 0.000 0.500 0.000
N: 0.500 0.000 0.000

---

3.
Density functional theory data (SCAN) for a PBEsol-optimized structure of SiMoI2N.

Raw total energy in eV per cell: -123.652
E_form (uncorrected) in eV/atom: 0.80
Total moment in μB/atom: 0.8329

a b c (Å): 3.340 5.560 5.560
angles (deg): 90.00 90.00 90.00
Each line ends with the local moment (μB).
Sites, in units of the cell vectors:
I: 0.000 0.000 0.500  -0.04
I: 0.000 0.500 0.000  -0.04
Mo: 0.500 0.500 0.500  3.59
Si: 0.000 0.000 0.000  0.02
N: 0.500 0.000 0.000  0.02

---

4.
Density functional theory data (SCAN) for a PBEsol-optimized structure of TaMoI2N.

Raw total energy in eV per cell: -178.795
E_form (uncorrected) in eV/atom: 1.09
Total moment in μB/atom: 0.6976

a b c (Å): 3.725 5.435 5.435
angles (deg): 90.00 90.00 90.00
Each line ends with the local moment (μB).
Sites, in units of the cell vectors:
I: 0.000 0.000 0.500  -0.06
I: 0.000 0.500 0.000  -0.06
Mo: 0.000 0.000 0.000  0.40
N: 0.500 0.000 0.000  -0.02
Ta: 0.500 0.500 0.500  2.04

---

5.
Density functional theory data (SCAN) for a PBEsol-optimized structure of TeMoI2N.

Raw total energy in eV per cell: -149.255
E_form (uncorrected) in eV/atom: 1.13
Total moment in μB/atom: 1.0048

a b c (Å): 5.136 5.566 5.566
angles (deg): 90.00 90.00 90.00
Each line ends with the local moment (μB).
Sites, in units of the cell vectors:
I: 0.000 0.000 0.500  0.02
I: 0.000 0.500 0.000  0.02
Mo: 0.000 0.000 0.000  2.42
Te: 0.500 0.000 0.000  -0.39
N: 0.500 0.500 0.500  1.92

---

6.
Density functional theory data (SCAN) for a PBEsol-optimized structure of ZnMoI2N.

Raw total energy in eV per cell: -125.937
E_form (uncorrected) in eV/atom: 1.05
Total moment in μB/atom: 1.2595

a b c (Å): 3.679 5.623 5.623
angles (deg): 90.00 90.00 90.00
Each line ends with the local moment (μB).
Sites, in units of the cell vectors:
I: 0.000 0.000 0.500  0.06
I: 0.000 0.500 0.000  0.06
Mo: 0.500 0.500 0.500  4.04
Zn: 0.000 0.000 0.000  0.02
N: 0.500 0.000 0.000  1.04

---

7.
Density functional theory data (SCAN) for a PBEsol-optimized structure of Na2MoI.

Raw total energy in eV per cell: -154.925
E_form (uncorrected) in eV/atom: 0.65
Total moment in μB/atom: 1.1500

a b c (Å): 5.943 6.878 6.878
angles (deg): 79.24 64.40 64.40
Each line ends with the local moment (μB).
Sites, in units of the cell vectors:
I: 0.750 0.500 0.500  -0.01
I: 0.000 0.000 0.000  -0.01
Na: 0.111 0.014 0.514  -0.01
Na: 0.639 0.986 0.486  -0.01
Na: 0.375 0.514 0.986  -0.01
Na: 0.875 0.486 0.014  -0.01
Mo: 0.250 0.500 0.500  3.85
Mo: 0.500 0.000 0.000  3.85

---

8.
Density functional theory data (SCAN) for a PBEsol-optimized structure of Rb2NaMoI6.

Raw total energy in eV per cell: -311.271
E_form (uncorrected) in eV/atom: -1.02
Total moment in μB/atom: 0.3000

a b c (Å): 8.237 8.237 8.237
angles (deg): 60.00 60.00 60.00
Each line ends with the local moment (μB).
Sites, in units of the cell vectors:
Rb: 0.750 0.750 0.750  0.00
Rb: 0.250 0.250 0.250  0.00
Na: 0.500 0.500 0.500  0.00
Mo: 0.000 0.000 0.000  2.61
I: 0.763 0.237 0.237  0.00
I: 0.763 0.763 0.237  0.00
I: 0.237 0.763 0.763  0.00
I: 0.763 0.237 0.763  0.00
I: 0.237 0.763 0.237  0.00
I: 0.237 0.237 0.763  0.00

---

9.
Density functional theory data (SCAN) for a PBEsol-optimized structure of Nb2MoSeI.

Raw total energy in eV per cell: -149.895
E_form (uncorrected) in eV/atom: 1.61
Total moment in μB/atom: 0.3827

a b c (Å): 4.682 4.682 5.557
angles (deg): 90.00 90.00 90.00
Each line ends with the local moment (μB).
Sites, in units of the cell vectors:
I: 0.000 0.000 0.500  -0.07
Mo: 0.500 0.500 0.500  3.47
Nb: 0.000 0.500 0.000  -0.80
Nb: 0.500 0.000 0.000  -0.80
Se: 0.000 0.000 0.000  0.06

---

10.
Density functional theory data (SCAN) for a PBEsol-optimized structure of MoIO3.

Raw total energy in eV per cell: -87.919
E_form (uncorrected) in eV/atom: 0.48
Total moment in μB/atom: 0.9252

a b c (Å): 4.167 4.167 4.167
angles (deg): 90.00 90.00 90.00
Each line ends with the local moment (μB).
Sites, in units of the cell vectors:
I: 0.000 0.000 0.000  -0.02
Mo: 0.500 0.500 0.500  4.12
O: 0.000 0.500 0.000  0.05
O: 0.000 0.000 0.500  0.05
O: 0.500 0.000 0.000  0.05

---

11.
Density functional theory data (SCAN) for a PBEsol-optimized structure of Mo3IO.

Raw total energy in eV per cell: -144.782
E_form (uncorrected) in eV/atom: 0.57
Total moment in μB/atom: 0.0003

a b c (Å): 4.197 4.197 4.197
angles (deg): 90.00 90.00 90.00
Sites, in units of the cell vectors:
I: 0.500 0.500 0.500
Mo: 0.000 0.500 0.000
Mo: 0.000 0.000 0.500
Mo: 0.500 0.000 0.000
O: 0.000 0.000 0.000

---

12.
Density functional theory data (SCAN) for a PBEsol-optimized structure of MoP2IO.

Raw total energy in eV per cell: -99.225
E_form (uncorrected) in eV/atom: -0.11
Total moment in μB/atom: 0.0000

a b c (Å): 3.779 4.864 4.864
angles (deg): 90.00 90.00 90.00
Sites, in units of the cell vectors:
I: 0.500 0.500 0.500
P: 0.000 0.000 0.500
P: 0.000 0.500 0.000
Mo: 0.000 0.000 0.000
O: 0.500 0.000 0.000

---

13.
Density functional theory data (SCAN) for a PBEsol-optimized structure of RbMoIO6.

Raw total energy in eV per cell: -574.173
E_form (uncorrected) in eV/atom: -1.53
Total moment in μB/atom: 0.0000

a b c (Å): 7.354 7.562 10.200
angles (deg): 90.00 90.00 90.00
Sites, in units of the cell vectors:
Rb: 0.859 0.022 0.617
Rb: 0.359 0.978 0.383
Rb: 0.859 0.522 0.883
Rb: 0.359 0.478 0.117
Mo: 0.100 0.508 0.528
Mo: 0.600 0.492 0.472
Mo: 0.100 0.008 0.972
Mo: 0.600 0.992 0.028
I: 0.424 0.283 0.743
I: 0.924 0.217 0.243
I: 0.924 0.717 0.257
I: 0.424 0.783 0.757
O: 0.042 0.279 0.395
O: 0.634 0.363 0.662
O: 0.042 0.779 0.105
O: 0.534 0.128 0.155
O: 0.134 0.137 0.162
O: 0.034 0.872 0.845
O: 0.141 0.708 0.604
O: 0.341 0.432 0.517
O: 0.542 0.721 0.605
O: 0.634 0.863 0.838
O: 0.641 0.792 0.104
O: 0.034 0.372 0.655
O: 0.534 0.628 0.345
O: 0.418 0.566 0.842
O: 0.418 0.066 0.658
O: 0.841 0.568 0.483
O: 0.918 0.434 0.158
O: 0.341 0.932 0.983
O: 0.542 0.221 0.895
O: 0.918 0.934 0.342
O: 0.134 0.637 0.338
O: 0.141 0.208 0.896
O: 0.841 0.068 0.017
O: 0.641 0.292 0.396

---

14.
Density functional theory data (SCAN) for a PBEsol-optimized structure of Re2MoIO.

Raw total energy in eV per cell: -214.021
E_form (uncorrected) in eV/atom: 1.21
Total moment in μB/atom: 0.3098

a b c (Å): 3.910 3.910 5.257
angles (deg): 90.00 90.00 90.00
Each line ends with the local moment (μB).
Sites, in units of the cell vectors:
I: 0.000 0.000 0.500  -0.05
Re: 0.000 0.500 0.000  -0.25
Re: 0.500 0.000 0.000  -0.25
Mo: 0.500 0.500 0.500  2.05
O: 0.000 0.000 0.000  0.00

---

15.
Density functional theory data (SCAN) for a PBEsol-optimized structure of MoRhIO2.

Raw total energy in eV per cell: -121.045
E_form (uncorrected) in eV/atom: -0.64
Total moment in μB/atom: 0.1312

a b c (Å): 3.765 3.765 5.857
angles (deg): 90.00 90.00 90.00
Each line ends with the local moment (μB).
Sites, in units of the cell vectors:
I: 0.000 0.000 0.500  0.00
Mo: 0.000 0.000 0.000  -0.21
Rh: 0.500 0.500 0.500  0.75
O: 0.000 0.500 0.000  0.02
O: 0.500 0.000 0.000  0.02

---

16.
Density functional theory data (SCAN) for a PBEsol-optimized structure of TaMoI2O.

Raw total energy in eV per cell: -178.689
E_form (uncorrected) in eV/atom: 0.50
Total moment in μB/atom: 0.8003

a b c (Å): 3.692 5.445 5.445
angles (deg): 90.00 90.00 90.00
Each line ends with the local moment (μB).
Sites, in units of the cell vectors:
I: 0.000 0.000 0.500  -0.05
I: 0.000 0.500 0.000  -0.05
Mo: 0.000 0.000 0.000  0.84
O: 0.500 0.000 0.000  -0.01
Ta: 0.500 0.500 0.500  1.99

---

17.
Density functional theory data (SCAN) for a PBEsol-optimized structure of TlMoI2O.

Raw total energy in eV per cell: -189.866
E_form (uncorrected) in eV/atom: -0.58
Total moment in μB/atom: 0.5000

a b c (Å): 3.810 5.701 5.701
angles (deg): 90.00 90.00 90.00
Each line ends with the local moment (μB).
Sites, in units of the cell vectors:
I: 0.000 0.000 0.500  0.02
I: 0.000 0.500 0.000  0.02
Tl: 0.500 0.500 0.500  0.01
Mo: 0.000 0.000 0.000  2.29
O: 0.500 0.000 0.000  -0.09

---

18.
Density functional theory data (SCAN) for a PBEsol-optimized structure of MoOs2PbI.

Raw total energy in eV per cell: -279.085
E_form (uncorrected) in eV/atom: 2.42
Total moment in μB/atom: 0.3469

a b c (Å): 4.819 4.819 4.898
angles (deg): 90.00 90.00 90.00
Each line ends with the local moment (μB).
Sites, in units of the cell vectors:
Pb: 0.500 0.500 0.500  0.00
I: 0.000 0.000 0.000  -0.02
Mo: 0.000 0.000 0.500  1.63
Os: 0.000 0.500 0.000  0.02
Os: 0.500 0.000 0.000  0.02

---

19.
Density functional theory data (SCAN) for a PBEsol-optimized structure of TaMoPb2I.

Raw total energy in eV per cell: -279.000
E_form (uncorrected) in eV/atom: 2.15
Total moment in μB/atom: 0.5528

a b c (Å): 5.001 5.783 5.783
angles (deg): 90.00 90.00 90.00
Each line ends with the local moment (μB).
Sites, in units of the cell vectors:
Pb: 0.000 0.000 0.500  -0.02
Pb: 0.000 0.500 0.000  -0.02
I: 0.000 0.000 0.000  0.04
Mo: 0.500 0.500 0.500  4.02
Ta: 0.500 0.000 0.000  -1.22

---

20.
Density functional theory data (SCAN) for a PBEsol-optimized structure of TlMo2PbI.

Raw total energy in eV per cell: -245.597
E_form (uncorrected) in eV/atom: 1.81
Total moment in μB/atom: 0.8905

a b c (Å): 4.983 4.983 5.881
angles (deg): 90.00 90.00 90.00
Each line ends with the local moment (μB).
Sites, in units of the cell vectors:
Pb: 0.000 0.000 0.500  -0.14
I: 0.000 0.000 0.000  -0.06
Tl: 0.500 0.500 0.500  -0.04
Mo: 0.000 0.500 0.000  2.25
Mo: 0.500 0.000 0.000  2.25

---

21.
Density functional theory data (SCAN) for a PBEsol-optimized structure of TeMoPdI2.

Raw total energy in eV per cell: -174.648
E_form (uncorrected) in eV/atom: 0.75
Total moment in μB/atom: 0.3852

a b c (Å): 5.104 5.446 5.446
angles (deg): 90.00 90.00 90.00
Each line ends with the local moment (μB).
Sites, in units of the cell vectors:
I: 0.000 0.000 0.500  -0.01
I: 0.000 0.500 0.000  -0.01
Mo: 0.000 0.000 0.000  2.39
Te: 0.500 0.000 0.000  -0.30
Pd: 0.500 0.500 0.500  -0.29

---

22.
Density functional theory data (SCAN) for a PBEsol-optimized structure of ReMoPtI2.

Raw total energy in eV per cell: -240.258
E_form (uncorrected) in eV/atom: 1.88
Total moment in μB/atom: 0.4229

a b c (Å): 4.778 5.159 5.159
angles (deg): 90.00 90.00 90.00
Each line ends with the local moment (μB).
Sites, in units of the cell vectors:
I: 0.000 0.000 0.500  0.01
I: 0.000 0.500 0.000  0.01
Re: 0.000 0.000 0.000  -0.56
Mo: 0.500 0.000 0.000  2.58
Pt: 0.500 0.500 0.500  -0.14

---

23.
Density functional theory data (SCAN) for a PBEsol-optimized structure of SbMoPtI2.

Raw total energy in eV per cell: -209.693
E_form (uncorrected) in eV/atom: 1.23
Total moment in μB/atom: 0.0001

a b c (Å): 5.140 5.140 5.272
angles (deg): 90.00 90.00 90.00
Sites, in units of the cell vectors:
I: 0.000 0.500 0.000
I: 0.500 0.000 0.000
Sb: 0.000 0.000 0.500
Mo: 0.000 0.000 0.000
Pt: 0.500 0.500 0.500

---

24.
Density functional theory data (SCAN) for a PBEsol-optimized structure of RbTeMoI2.

Raw total energy in eV per cell: -161.450
E_form (uncorrected) in eV/atom: 0.98
Total moment in μB/atom: 0.5988

a b c (Å): 6.313 6.400 6.400
angles (deg): 90.00 90.00 90.00
Each line ends with the local moment (μB).
Sites, in units of the cell vectors:
I: 0.000 0.000 0.500  -0.14
I: 0.000 0.500 0.000  -0.14
Mo: 0.500 0.500 0.500  4.35
Te: 0.500 0.000 0.000  -0.85
Rb: 0.000 0.000 0.000  -0.03

---

25.
Density functional theory data (SCAN) for a PBEsol-optimized structure of ReMo2I.

Raw total energy in eV per cell: -173.383
E_form (uncorrected) in eV/atom: 1.06
Total moment in μB/atom: 0.0007

a b c (Å): 4.535 4.535 4.535
angles (deg): 60.00 60.00 60.00
Sites, in units of the cell vectors:
I: 0.000 0.000 0.000
Re: 0.500 0.500 0.500
Mo: 0.250 0.250 0.250
Mo: 0.750 0.750 0.750

---

26.
Density functional theory data (SCAN) for a PBEsol-optimized structure of Re3MoI.

Raw total energy in eV per cell: -271.901
E_form (uncorrected) in eV/atom: 2.60
Total moment in μB/atom: 0.3696

a b c (Å): 4.699 4.699 4.699
angles (deg): 90.00 90.00 90.00
Each line ends with the local moment (μB).
Sites, in units of the cell vectors:
I: 0.500 0.500 0.500  -0.08
Re: 0.000 0.500 0.000  0.53
Re: 0.000 0.000 0.500  0.53
Re: 0.500 0.000 0.000  0.53
Mo: 0.000 0.000 0.000  -0.13

---

27.
Density functional theory data (SCAN) for a PBEsol-optimized structure of ReTeMoI2.

Raw total energy in eV per cell: -208.990
E_form (uncorrected) in eV/atom: 1.55
Total moment in μB/atom: 0.6093

a b c (Å): 5.185 5.470 5.470
angles (deg): 90.00 90.00 90.00
Each line ends with the local moment (μB).
Sites, in units of the cell vectors:
I: 0.000 0.000 0.500  0.07
I: 0.000 0.500 0.000  0.07
Re: 0.500 0.500 0.500  4.00
Mo: 0.000 0.000 0.000  -2.46
Te: 0.500 0.000 0.000  0.17